DFT (PBE-GGA) results for a geometry-optimized Pm6Ge2RuBr3 structure.

Geometry as extended XYZ:
```
12
Lattice="-0.002 1.961 -3.699 6.155 -5.813 -3.086 -8.488 -4.814 -0.178" Properties=species:S:1:pos:R:3 pbc="T T T"
Pm -0.462 -7.920 -4.198
Pm 0.499 -3.651 -4.305
Pm -1.874 -0.747 -2.764
Pm 1.238 -1.302 -0.691
Pm -3.574 -7.364 -6.271
Pm -2.835 -5.016 -2.657
Ge -1.613 -5.434 -5.249
Ge -0.723 -3.233 -1.713
Ru -0.001 0.980 -1.849
Br 3.076 -1.926 -3.392
Br -4.526 -2.483 -3.683
Br 2.190 -6.184 -3.280
```

Results
DFT total energy	-5.35	eV/atom
ΔE_f (raw)	-1.01	eV/atom